CdFeO2F | Alexandria | GGA+U | relaxed; density of states at the Fermi level = 0.6 states/eV per cell; energy = -3.32 eV per atom; total magnetic moment = 0.537 μB per atom; SG = P4/mmm, No. 123
1.0
4.520 0.000 0.000
0.000 4.520 0.000
0.000 0.000 3.861
Cd Fe O F
1 1 2 1
direct
0.000 0.000 0.000
0.500 0.500 0.000
0.000 0.500 0.500
0.500 0.000 0.500
0.000 0.000 0.500